1.
# Na4Hg PBE optimized geometry
data_Na4Hg
_cell_length_a 5.865
_cell_length_b 5.865
_cell_length_c 5.865
_cell_angle_alpha 90.00
_cell_angle_beta 90.00
_cell_angle_gamma 90.00
_space_group_name_H-M_alt 'P m -3 m'
_space_group_IT_number 221
_space_group_name_Hall '-P 4 2 3'
loop_
_atom_site_label
_atom_site_type_symbol
_atom_site_fract_x
_atom_site_fract_y
_atom_site_fract_z
Na1 Na 0.000 0.000 0.000
Na2 Na 0.000 0.500 0.500
Hg1 Hg 0.500 0.500 0.500
# - Total magnetic moment: 0.000 μB per atom
# - Energy of formation from the pure elements: 0.001 eV per atom

2.
# AlPRh2 PBE optimized geometry
data_AlPRh2
_cell_length_a 4.412
_cell_length_b 2.913
_cell_length_c 8.847
_cell_angle_alpha 90.00
_cell_angle_beta 90.00
_cell_angle_gamma 90.00
_space_group_name_H-M_alt 'A m m 2'
_space_group_IT_number 38
loop_
_space_group_symop_operation_xyz
'x,y,z'
'-x,-y,z'
'-x,y,z'
'x,-y,z'
'x,y+1/2,z+1/2'
'-x,-y+1/2,z+1/2'
'-x,y+1/2,z+1/2'
'x,-y+1/2,z+1/2'
loop_
_atom_site_label
_atom_site_type_symbol
_atom_site_fract_x
_atom_site_fract_y
_atom_site_fract_z
Al1 Al 0.000 0.000 0.000
P1 P 0.500 0.000 0.654
Rh1 Rh 0.000 0.000 0.731
Rh2 Rh 0.500 0.000 0.382
# - Total magnetic moment: 0.000 μB per atom
# - Energy of formation from the pure elements: -0.584 eV per atom

3.
# AgH6SeN2 PBE optimized geometry
data_AgH6SeN2
_cell_length_a 8.086
_cell_length_b 13.256
_cell_length_c 5.292
_cell_angle_alpha 90.00
_cell_angle_beta 90.78
_cell_angle_gamma 90.00
_space_group_name_H-M_alt 'C 1 2/c 1'
_space_group_IT_number 15
loop_
_space_group_symop_operation_xyz
'x,y,z'
'-x,-y,-z'
'-x,y,-z+1/2'
'x,-y,z+1/2'
'x+1/2,y+1/2,z'
'-x+1/2,-y+1/2,-z'
'-x+1/2,y+1/2,-z+1/2'
'x+1/2,-y+1/2,z+1/2'
loop_
_atom_site_label
_atom_site_type_symbol
_atom_site_fract_x
_atom_site_fract_y
_atom_site_fract_z
Ag1 Ag 0.000 0.121 0.250
H1 H 0.177 0.246 0.748
H2 H 0.178 0.354 0.592
H3 H 0.180 0.355 0.904
Se1 Se 0.000 0.076 0.750
N1 N 0.224 0.318 0.748
# - Total magnetic moment: 0.000 μB per atom

4.
# Tm3MgN4 PBE optimized geometry
data_Tm3MgN4
_cell_length_a 4.743
_cell_length_b 4.743
_cell_length_c 4.743
_cell_angle_alpha 90.00
_cell_angle_beta 90.00
_cell_angle_gamma 90.00
_space_group_name_H-M_alt 'P m -3 m'
_space_group_IT_number 221
_space_group_name_Hall '-P 4 2 3'
loop_
_atom_site_label
_atom_site_type_symbol
_atom_site_fract_x
_atom_site_fract_y
_atom_site_fract_z
Tm1 Tm 0.000 0.000 0.500
Mg1 Mg 0.500 0.500 0.500
N1 N 0.000 0.000 0.000
N2 N 0.000 0.500 0.500
# - Total magnetic moment: 0.001 μB per atom

5.
# MnHgI5 PBE optimized geometry
data_MnHgI5
_cell_length_a 16.807
_cell_length_b 8.370
_cell_length_c 10.173
_cell_angle_alpha 90.00
_cell_angle_beta 90.00
_cell_angle_gamma 90.00
_space_group_name_H-M_alt 'P n m a'
_space_group_IT_number 62
loop_
_space_group_symop_operation_xyz
'x,y,z'
'-x,-y,-z'
'-x+1/2,-y,z+1/2'
'x+1/2,y,-z+1/2'
'x+1/2,-y+1/2,-z+1/2'
'-x+1/2,y+1/2,z+1/2'
'-x,y+1/2,-z'
'x,-y+1/2,z'
loop_
_atom_site_label
_atom_site_type_symbol
_atom_site_fract_x
_atom_site_fract_y
_atom_site_fract_z
Mn1 Mn 0.067 0.250 0.148
Hg1 Hg 0.102 0.750 0.443
I1 I 0.000 0.000 0.000
I2 I 0.076 0.750 0.714
I3 I 0.150 0.029 0.311
I4 I 0.188 0.250 0.984
# - Total magnetic moment: 0.568 μB per atom

6.
# TaTlW PBE optimized geometry
data_TaTlW
_cell_length_a 3.476
_cell_length_b 3.476
_cell_length_c 9.429
_cell_angle_alpha 90.00
_cell_angle_beta 90.00
_cell_angle_gamma 90.00
_space_group_name_H-M_alt 'I 4 m m'
_space_group_IT_number 107
_space_group_name_Hall 'I 4 -2'
loop_
_atom_site_label
_atom_site_type_symbol
_atom_site_fract_x
_atom_site_fract_y
_atom_site_fract_z
Ta1 Ta 0.000 0.000 0.000
Tl1 Tl 0.000 0.000 0.315
W1 W 0.000 0.000 0.634
# - Total magnetic moment: 0.000 μB per atom
# - Energy of formation from the pure elements: 0.526 eV per atom

| no. | final energy (eV per atom) |
| --- | --- |
| 1 | -1.1147 |
| 2 | -6.5480 |
| 3 | -4.5357 |
| 4 | -7.4201 |
| 5 | -2.6489 |
| 6 | -8.5310 |